(1)
Here is a relaxed structure of Re2RuW from Alexandria via LeMat-Bulk. Energies are from PBE.

Results
E_form (eV per atom): 0.255
Energy above the lowest structure with this stoichiometry (meV per atom): 195.5
Total DFT energy (no corrections) (eV per cell): -46.11
M_tot (μB/f.u.): 0.00

Geometry as POSCAR:
```
Re2RuW
1.0
5.200 0.005 0.010
2.388 4.620 -0.010
-3.331 -3.072 2.551
W Re Ru
1 2 1
Direct
0.250 0.750 0.500 W
0.016 0.016 0.000 Re
0.484 0.484 0.000 Re
0.750 0.250 0.500 Ru
```

---

(2)
Here is a relaxed structure of ReRuW2 from Alexandria via LeMat-Bulk. Energies are from PBE.

Results
E_form (eV per atom): 0.223
Energy above the lowest structure with this stoichiometry (meV per atom): 95.1
Total DFT energy (no corrections) (eV per cell): -46.74
M_tot (μB/f.u.): 0.00

Geometry as POSCAR:
```
ReRuW2
1.0
0.000 3.137 3.137
3.137 0.000 3.137
3.137 3.137 0.000
W Re Ru
2 1 1
Direct
0.750 0.750 0.750 W
0.250 0.250 0.250 W
0.500 0.500 0.500 Re
0.000 0.000 0.000 Ru
```

---

(3)
Here is a relaxed structure of ReRuW2 from Alexandria via LeMat-Bulk. Energies are from PBE.

Results
E_form (eV per atom): 0.132
Energy above the lowest structure with this stoichiometry (meV per atom): 3.9
Total DFT energy (no corrections) (eV per cell): -47.10
M_tot (μB/f.u.): 0.00

Geometry as POSCAR:
```
ReRuW2
1.0
-4.261 -2.312 0.377
-2.343 -4.258 -0.150
0.151 -1.120 4.682
Ru Re W
1 1 2
Direct
0.247 0.247 0.251 Ru
0.509 0.509 0.497 Re
0.991 0.991 0.012 W
0.753 0.753 0.741 W
```

---

(4)
Here is a relaxed structure of ReRuW2 from Alexandria via LeMat-Bulk. Energies are from PBE.

Results
E_form (eV per atom): 0.167
Energy above the lowest structure with this stoichiometry (meV per atom): 38.4
Total DFT energy (no corrections) (eV per cell): -46.96
M_tot (μB/f.u.): 0.00

Geometry as POSCAR:
```
ReRuW2
1.0
4.879 -0.003 0.000
1.740 4.559 0.000
-3.310 -2.278 2.769
W Re Ru
2 1 1
Direct
0.000 0.000 0.000 W
0.250 0.750 0.500 W
0.500 0.500 0.000 Re
0.750 0.250 0.500 Ru
```

---

(5)
Here is a relaxed structure of ReRuW2 from Alexandria via LeMat-Bulk. Energies are from PBE.

Results
E_form (eV per atom): 0.270
Energy above the lowest structure with this stoichiometry (meV per atom): 141.3
Total DFT energy (no corrections) (eV per cell): -46.55
M_tot (μB/f.u.): 0.04

Geometry as POSCAR:
```
ReRuW2
1.0
4.437 0.000 0.000
2.218 3.842 0.000
2.218 1.281 3.623
Re W Ru
1 2 1
Direct
0.500 0.500 0.500 Re
0.000 0.000 0.000 W
0.750 0.750 0.750 W
0.250 0.250 0.250 Ru
```

---

(6)
Here is a relaxed structure of ReRuW2 from Alexandria via LeMat-Bulk. Energies are from PBE.

Results
E_form (eV per atom): 0.208
Energy above the lowest structure with this stoichiometry (meV per atom): 80.1
Total DFT energy (no corrections) (eV per cell): -46.80
M_tot (μB/f.u.): 0.00

Geometry as POSCAR:
```
ReRuW2
1.0
3.149 0.000 0.000
0.000 3.149 0.000
0.000 0.000 6.293
W Ru Re
2 1 1
Direct
0.500 0.500 0.256 W
0.000 0.000 0.993 W
0.500 0.500 0.771 Ru
0.000 0.000 0.481 Re
```

---

(7)
Here is a relaxed structure of Re2RuW from Alexandria via LeMat-Bulk. Energies are from PBE.

Results
E_form (eV per atom): 0.118
Energy above the lowest structure with this stoichiometry (meV per atom): 58.7
Total DFT energy (no corrections) (eV per cell): -46.65
M_tot (μB/f.u.): 0.00

Geometry as POSCAR:
```
Re2RuW
1.0
-2.735 1.295 -2.451
-1.098 -2.545 -0.120
-4.405 -1.327 4.215
Re Ru W
2 1 1
Direct
0.000 0.989 0.010 Re
0.000 0.511 0.490 Re
0.500 0.250 0.250 Ru
0.500 0.750 0.750 W
```

---

(8)
Here is a relaxed structure of ReRuW2 from Alexandria via LeMat-Bulk. Energies are from PBE.

Results
E_form (eV per atom): 0.128
Energy above the lowest structure with this stoichiometry (meV per atom): 0.0
Total DFT energy (no corrections) (eV per cell): -47.12
M_tot (μB/f.u.): 0.00

Geometry as POSCAR:
```
ReRuW2
1.0
-1.071 -3.140 -3.469
-2.672 -1.074 3.841
-2.020 1.713 -0.927
W Ru Re
2 1 1
Direct
0.500 0.500 0.000 W
0.000 0.000 0.000 W
0.000 0.500 0.500 Ru
0.500 0.000 0.500 Re
```

---

(9)
Here is a relaxed structure of ReRuW2 from Alexandria via LeMat-Bulk. Energies are from PBE.

Results
E_form (eV per atom): 0.137
Energy above the lowest structure with this stoichiometry (meV per atom): 8.9
Total DFT energy (no corrections) (eV per cell): -47.08
M_tot (μB/f.u.): 0.00

Geometry as POSCAR:
```
ReRuW2
1.0
4.791 -0.020 0.000
1.495 4.551 0.000
-3.143 -2.266 2.818
W Re Ru
2 1 1
Direct
0.500 0.500 0.000 W
0.000 0.000 0.000 W
0.250 0.750 0.500 Re
0.750 0.250 0.500 Ru
```

---

(10)
Here is a relaxed structure of ReRuW2 from Alexandria via LeMat-Bulk. Energies are from PBE.

Results
E_form (eV per atom): 0.153
Energy above the lowest structure with this stoichiometry (meV per atom): 24.5
Total DFT energy (no corrections) (eV per cell): -47.02
M_tot (μB/f.u.): 0.00

Geometry as POSCAR:
```
ReRuW2
1.0
4.430 0.000 0.000
0.000 2.735 -0.059
0.000 0.912 5.085
Ru W Re
1 2 1
Direct
0.500 0.851 0.747 Ru
0.000 0.960 0.000 W
0.500 0.233 0.250 W
0.000 0.456 0.503 Re
```

---

(11)
Here is a relaxed structure of ReRu4W from Alexandria via LeMat-Bulk. Energies are from PBE.

Results
E_form (eV per atom): 0.440
Energy above the lowest structure with this stoichiometry (meV per atom): 473.6
Total DFT energy (no corrections) (eV per cell): -59.87
M_tot (μB/f.u.): 0.00

Geometry as POSCAR:
```
ReRu4W
1.0
0.000 3.551 3.551
3.551 0.000 3.551
3.551 3.551 0.000
Ru Re W
4 1 1
Direct
0.876 0.375 0.375 Ru
0.375 0.375 0.375 Ru
0.375 0.375 0.876 Ru
0.375 0.876 0.375 Ru
0.000 0.000 0.000 Re
0.750 0.750 0.750 W
```

---

(12)
Here is a relaxed structure of Re2RuW from Alexandria via LeMat-Bulk. Energies are from PBE.

Results
E_form (eV per atom): 0.074
Energy above the lowest structure with this stoichiometry (meV per atom): 15.4
Total DFT energy (no corrections) (eV per cell): -46.83
M_tot (μB/f.u.): 0.00

Geometry as POSCAR:
```
Re2RuW
1.0
-1.736 -3.590 2.673
3.314 -1.370 3.191
-1.783 4.316 -1.111
W Ru Re
1 1 2
Direct
0.750 0.250 0.500 W
0.500 0.500 0.000 Ru
0.000 0.000 0.000 Re
0.250 0.750 0.500 Re
```

---

(13)
Here is a relaxed structure of Re2Ru5W from Alexandria via LeMat-Bulk. Energies are from PBE.

Results
E_form (eV per atom): -0.077
Total DFT energy (no corrections) (eV per cell): -84.84
M_tot (μB/f.u.): 0.00

Geometry as POSCAR:
```
Re2Ru5W
1.0
-1.361 -1.615 -5.062
5.296 0.329 1.389
-2.065 -3.531 3.194
Ru W Re
5 1 2
Direct
0.241 0.315 0.500 Ru
0.319 0.237 0.000 Ru
0.816 0.241 0.000 Ru
0.315 0.739 0.000 Ru
0.741 0.815 0.500 Ru
0.815 0.741 0.000 W
0.734 0.314 0.492 Re
0.242 0.822 0.508 Re
```

---

(14)
Here is a relaxed structure of Re2RuW from Alexandria via LeMat-Bulk. Energies are from PBE.

Results
E_form (eV per atom): 0.300
Energy above the lowest structure with this stoichiometry (meV per atom): 241.2
Total DFT energy (no corrections) (eV per cell): -45.92
M_tot (μB/f.u.): 0.00

Geometry as POSCAR:
```
Re2RuW
1.0
-1.640 -1.337 -2.044
-3.119 -0.973 3.140
-2.115 3.940 -0.880
Re W Ru
2 1 1
Direct
0.000 0.000 0.000 Re
0.500 0.500 0.000 Re
0.000 0.500 0.500 W
0.500 0.000 0.500 Ru
```

---

(15)
Here is a relaxed structure of ReRuW2 from Alexandria via LeMat-Bulk. Energies are from PBE.

Results
E_form (eV per atom): 0.173
Energy above the lowest structure with this stoichiometry (meV per atom): 44.3
Total DFT energy (no corrections) (eV per cell): -46.94
M_tot (μB/f.u.): 0.00

Geometry as POSCAR:
```
ReRuW2
1.0
-1.410 -1.210 2.013
0.431 -1.787 -2.030
7.477 -2.464 3.756
W Re Ru
2 1 1
Direct
0.000 0.000 0.503 W
0.000 0.000 0.997 W
0.500 0.500 0.250 Re
0.500 0.500 0.750 Ru
```

---

(16)
Here is a relaxed structure of ReRuW2 from Alexandria via LeMat-Bulk. Energies are from PBE.

Results
E_form (eV per atom): 0.234
Energy above the lowest structure with this stoichiometry (meV per atom): 105.7
Total DFT energy (no corrections) (eV per cell): -46.69
M_tot (μB/f.u.): 0.00

Geometry as POSCAR:
```
ReRuW2
1.0
9.361 0.027 0.016
8.941 2.774 0.016
8.941 1.368 2.413
Re Ru W
1 1 2
Direct
0.250 0.250 0.250 Re
0.750 0.750 0.750 Ru
0.002 0.002 0.002 W
0.498 0.498 0.498 W
```

---

(17)
Here is a relaxed structure of ReRuW2 from Alexandria via LeMat-Bulk. Energies are from PBE.

Results
E_form (eV per atom): 0.131
Energy above the lowest structure with this stoichiometry (meV per atom): 2.8
Total DFT energy (no corrections) (eV per cell): -47.11
M_tot (μB/f.u.): 0.00

Geometry as POSCAR:
```
ReRuW2
1.0
-1.383 3.236 -1.713
-0.453 -1.991 -3.395
-3.678 -1.002 1.078
Re W Ru
1 2 1
Direct
0.500 0.500 0.000 Re
0.000 0.500 0.500 W
0.000 0.000 0.000 W
0.500 0.000 0.500 Ru
```

---

(18)
Here is a relaxed structure of Re4RuW from Alexandria via LeMat-Bulk. Energies are from PBE.

Results
E_form (eV per atom): 0.284
Total DFT energy (no corrections) (eV per cell): -70.32
M_tot (μB/f.u.): 0.00

Geometry as POSCAR:
```
Re4RuW
1.0
0.000 3.616 3.616
3.616 0.000 3.616
3.616 3.616 0.000
Re Ru W
4 1 1
Direct
0.624 0.128 0.624 Re
0.624 0.624 0.624 Re
0.624 0.624 0.128 Re
0.128 0.624 0.624 Re
0.250 0.250 0.250 Ru
0.000 0.000 0.000 W
```

---

(19)
Here is a relaxed structure of ReRuW2 from Alexandria via LeMat-Bulk. Energies are from PBE.

Results
E_form (eV per atom): 1.724
Energy above the lowest structure with this stoichiometry (meV per atom): 1595.4
Total DFT energy (no corrections) (eV per cell): -81.47
M_tot (μB/f.u.): 0.00

Geometry as POSCAR:
```
ReRuW2
1.0
5.701 0.000 0.000
0.000 5.701 0.000
2.850 2.850 5.666
Re Ru W
2 2 4
Direct
0.000 0.000 0.000 Re
0.750 0.250 0.500 Re
0.500 0.500 0.000 Ru
0.250 0.750 0.500 Ru
0.618 0.125 0.250 W
0.132 0.625 0.250 W
0.375 0.382 0.750 W
0.875 0.868 0.750 W
```

---

(20)
Here is a relaxed structure of Re2RuW from Alexandria via LeMat-Bulk. Energies are from PBE.

Results
E_form (eV per atom): 0.119
Energy above the lowest structure with this stoichiometry (meV per atom): 60.0
Total DFT energy (no corrections) (eV per cell): -46.65
M_tot (μB/f.u.): 0.00

Geometry as POSCAR:
```
Re2RuW
1.0
-1.549 1.045 2.019
1.073 -1.819 1.764
5.800 5.152 1.784
Ru Re W
1 2 1
Direct
0.500 0.500 0.250 Ru
0.000 0.000 0.489 Re
0.000 0.000 0.011 Re
0.500 0.500 0.750 W
```